Record 1
An optimized crystal structure of HoHfNi10. Source: the Alexandria database, functional GGA-PBE.

Cell and atoms, written as extended XYZ:
```
12
Lattice="-1.610 -2.920 2.138 0.702 -3.046 -3.631 7.483 -1.899 3.040" Properties=species:S:1:pos:R:3 pbc="T T T"
Ho 0.000 0.000 0.000
Hf 4.092 -2.473 -0.295
Ni 2.544 -0.646 1.034
Ni 6.523 -3.090 0.692
Ni 1.662 -1.856 -1.283
Ni 4.939 -1.254 2.007
Ni 2.936 -2.410 2.589
Ni -0.454 -2.983 -0.746
Ni 1.290 -2.719 0.927
Ni 5.284 -5.146 0.620
Ni 1.636 -4.220 -0.862
Ni 4.938 -3.645 2.410
```

The crystal system is orthorhombic. Its space-group type is Pmmm, No. 47. For the total moment, the calculation gives 2.60 μB per formula unit. Its formation energy from the elements is -361 kJ/mol of formula units. The value obtained for the total energy is -76.1 eV per formula unit.

***

Record 2
An optimized crystal structure of MgInIO2. Source: the Alexandria database, functional GGA-PBE.

Cell and atoms, written as extended XYZ:
```
5
Lattice="4.160 0.000 0.000 0.000 4.160 0.000 0.000 0.000 5.842" Properties=species:S:1:pos:R:3 pbc="T T T"
I 0.000 0.000 2.921
Mg 0.000 0.000 0.000
O 0.000 2.080 0.000
O 2.080 0.000 0.000
In 2.080 2.080 2.921
```

As for the uncorrected formation energy: -0.47 eV per atom. As for the offset from the most stable computed form: 29 meV/atom. The crystal system is tetragonal. Its space-group type is P4/mmm, No. 123. For the total moment, the calculation gives 0.00 μB per formula unit. The value obtained for the total energy is -18.2 eV per formula unit.